A plane-wave DFT calculation with PBE with a Hubbard U was carried out for an optimized crystal structure of K3MnIn2O6.

Properties
- Density: 4.9 g cm⁻³
- VASP energy: -5.268 eV/atom
- V: 340.6 Å³/cell
- Crystal system: monoclinic

a b c (Å): 5.6575 9.8573 6.3990
angles (deg): 90.00 107.38 90.00
With the nearest neighbours (Å) after each atom.
Space group C2/m (No. 12)
Asymmetric unit:
K1 0.0000 0.0000 0.0000 (multiplicity 2)  6 O 2.68-2.82
K2 0.0000 0.3331 0.0000 (multiplicity 4)  6 O 2.68-2.80
Mn1 0.0000 0.5000 0.5000 (multiplicity 2)  6 O 2.07-2.09
In1 0.0000 0.1671 0.5000 (multiplicity 4)  6 O 2.24-2.25
O1 0.2157 0.3436 0.6807 (multiplicity 8)  1 Mn 2.09, 2 In 2.24-2.25
O2 0.2498 0.0000 0.6794 (multiplicity 4)  1 Mn 2.07, 2 In 2.25



A plane-wave DFT calculation with PBE with a Hubbard U was carried out for an optimized crystal structure of K2MnInO4.

Properties
- Density: 4.6 g cm⁻³
- VASP energy: -5.548 eV/atom
- V: 113.7 Å³/cell
- Crystal system: monoclinic

a b c (Å): 5.5364 3.3634 6.3532
angles (deg): 90.00 105.96 90.00
With the nearest neighbours (Å) after each atom.
Space group P2/m (No. 10)
Asymmetric unit:
K1 0.0000 0.0000 0.0000 (multiplicity 1)  6 O 2.63-2.72
K2 0.5000 0.5000 0.0000 (multiplicity 1)  6 O 2.73-2.79
Mn1 0.0000 0.5000 0.5000 (multiplicity 1)  2 O 1.99
In1 0.5000 0.0000 0.5000 (multiplicity 1)  6 O 2.16-2.28
O1 0.2264 0.0000 0.6860 (multiplicity 2)  1 In 2.16, 2 Mn 2.23
O2 0.2458 0.5000 0.3238 (multiplicity 2)  1 Mn 1.99